Computed, not measured: crystalline SrMnP2O6 at its relaxed geometry at the PBE+U level of DFT.

abc: 5.2724 5.2724 17.9625
angles: 90.00 90.00 120.00
Space group R-3 (No. 148, hexagonal axes)
Unique sites:
Sr: 0.0000 0.0000 0.0000
Mn: 0.0000 0.0000 0.5000
P: 0.0000 0.0000 0.2592
O: 0.0252 0.2976 0.2380

Output
Total energy in eV/cell: -210.84
Spin magnetization in μB per cell: 9.0
Crystal system: trigonal